Gd2CoPd | PBE-GGA | optimized geometry

Properties
Crystal system   trigonal
Energy   -10.0511 eV/atom
Formation energy from the elements   0.06 eV per atom
Space-group type   R-3m, No. 166

a b c (Å): 3.5676 3.5676 8.9774
angles (deg): 78.54 78.54 60.00
Sites, in units of the cell vectors:
Gd 0.8976 0.8976 0.3073
Gd 0.1024 0.1024 0.6927
Co 0.5000 0.5000 0.5000
Pd 0.0000 0.0000 0.0000